1.
A geometry-optimized Na2GaNi structure, computed with PBE-GGA.

Output
Volume = 298 Å³/cell
Magnetization = 0.00 μB per atom
Density of states at the Fermi level = 0.537 states/eV/atom
DFT formation energy = 0.326 eV per atom
SG = I-42d (122)

a = 3.743 Å, b = 3.743 Å, c = 21.301 Å
α = 90.00°, β = 90.00°, γ = 90.00°
Atoms (fractional coordinates):
Na  0.244  0.250  0.125
Na  0.250  0.744  0.375
Na  0.250  0.756  0.875
Na  0.256  0.250  0.625
Na  0.744  0.750  0.625
Na  0.750  0.244  0.875
Na  0.750  0.256  0.375
Na  0.756  0.750  0.125
Ga  0.000  0.000  0.500
Ga  0.000  0.500  0.750
Ga  0.500  0.000  0.250
Ga  0.500  0.500  0.000
Ni  0.000  0.000  0.000
Ni  0.000  0.500  0.250
Ni  0.500  0.000  0.750
Ni  0.500  0.500  0.500


2.
A geometry-optimized Na2Ga6Ni structure, computed with PBE-GGA.

Output
Volume = 169 Å³/cell
Magnetization = 0.00 μB per atom
Density of states at the Fermi level = 0.503 states/eV/atom
DFT formation energy = -0.128 eV per atom
SG = C2/m (12)

a = 5.936 Å, b = 5.936 Å, c = 5.530 Å
α = 90.01°, β = 90.01°, γ = 59.88°
Atoms (fractional coordinates):
Na  0.166  0.166  0.163
Na  0.834  0.834  0.837
Ga  0.156  0.672  0.314
Ga  0.328  0.328  0.687
Ga  0.328  0.844  0.686
Ga  0.672  0.156  0.314
Ga  0.672  0.672  0.313
Ga  0.844  0.328  0.686
Ni  0.500  0.500  0.000


3.
A geometry-optimized NaGaNi3 structure, computed with PBE-GGA.

Output
Volume = 80 Å³/cell
Magnetization = 0.00 μB per atom
Density of states at the Fermi level = 0.079 states/eV/atom
DFT formation energy = 1.381 eV per atom
SG = Pm-3m (221)
Energy above the lowest structure with this stoichiometry = 841 meV/atom

a = 4.307 Å, b = 4.307 Å, c = 4.307 Å
α = 90.00°, β = 90.00°, γ = 90.00°
Atoms (fractional coordinates):
Na  0.000  0.000  0.000
Ga  0.500  0.500  0.500
Ni  0.000  0.000  0.500
Ni  0.000  0.500  0.000
Ni  0.500  0.000  0.000


4.
A geometry-optimized NaGa6Ni structure, computed with PBE-GGA.

Output
Volume = 148 Å³/cell
Magnetization = 0.00 μB per atom
Density of states at the Fermi level = 0.285 states/eV/atom
DFT formation energy = -0.195 eV per atom
SG = P4/mmm (123)

a = 4.184 Å, b = 4.184 Å, c = 8.467 Å
α = 90.00°, β = 90.00°, γ = 90.00°
Atoms (fractional coordinates):
Na  0.000  0.000  0.000
Ga  0.000  0.500  0.340
Ga  0.000  0.500  0.660
Ga  0.500  0.000  0.340
Ga  0.500  0.000  0.660
Ga  0.500  0.500  0.148
Ga  0.500  0.500  0.852
Ni  0.000  0.000  0.500


5.
A geometry-optimized NaGa3Ni structure, computed with PBE-GGA.

Output
Volume = 360 Å³/cell
Magnetization = 0.00 μB per atom
Density of states at the Fermi level = 0.357 states/eV/atom
DFT formation energy = -0.133 eV per atom
SG = P2_1/c (14)
Energy above the lowest structure with this stoichiometry = 52 meV/atom

a = 7.980 Å, b = 5.431 Å, c = 8.642 Å
α = 90.00°, β = 106.16°, γ = 90.00°
Atoms (fractional coordinates):
Na  0.136  0.092  0.216
Na  0.136  0.408  0.716
Na  0.864  0.592  0.284
Na  0.864  0.908  0.784
Ga  0.147  0.610  0.061
Ga  0.147  0.890  0.561
Ga  0.298  0.571  0.375
Ga  0.298  0.929  0.875
Ga  0.409  0.174  0.558
Ga  0.409  0.326  0.058
Ga  0.591  0.674  0.942
Ga  0.591  0.826  0.442
Ga  0.702  0.071  0.125
Ga  0.702  0.429  0.625
Ga  0.853  0.110  0.439
Ga  0.853  0.390  0.939
Ni  0.451  0.730  0.658
Ni  0.451  0.770  0.158
Ni  0.549  0.230  0.842
Ni  0.549  0.270  0.342


6.
A geometry-optimized NaGa3Ni structure, computed with PBE-GGA.

Output
Volume = 126 Å³/cell
Magnetization = 0.10 μB per atom
Density of states at the Fermi level = 1.011 states/eV/atom
DFT formation energy = 1.147 eV per atom
SG = Pm-3m (221)
Energy above the lowest structure with this stoichiometry = 1331 meV/atom

a = 5.013 Å, b = 5.013 Å, c = 5.013 Å
α = 90.00°, β = 90.00°, γ = 90.00°
Atoms (fractional coordinates):
Na  0.000  0.000  0.000
Ga  0.000  0.000  0.500
Ga  0.000  0.500  0.000
Ga  0.500  0.000  0.000
Ni  0.500  0.500  0.500